VASP calculation (PBE-GGA) on a relaxed structure of NaCa2Tb.

The structure in POSCAR format:
```
NaCa2Tb
1.0
-3.1494 -0.4888 -2.6409
-0.7923 -3.7198 1.6333
-5.3554 3.6485 5.7113
Na Ca Tb
1 2 1
direct
0.5000 0.5000 0.0000
0.0000 0.0000 0.7452
0.0000 0.0000 0.2548
0.5000 0.5000 0.5000
```

Computed properties:
- DFT formation energy: 0.126 eV per atom
- Space-group type: P4/mmm (123)
- Relative energy among the computed polymorphs: 0.67 kcal/mol of atoms

=====

VASP calculation (PBE-GGA) on a relaxed structure of Ba2LaSi4.

The structure in POSCAR format:
```
Ba2LaSi4
1.0
-1.9936 4.5398 -2.3631
-3.7185 -3.0274 -2.6788
-8.2430 1.7174 3.8704
Si Ba La
4 2 1
direct
0.8337 0.8337 0.3327
0.1663 0.1663 0.6673
0.0000 0.5000 0.0000
0.5000 0.0000 0.0000
0.6367 0.6367 0.7267
0.3633 0.3633 0.2733
0.0000 0.0000 0.0000
```

Computed properties:
- Formation energy without anion corrections: 0.37 eV/atom
- Space-group type: I4/mmm (139)

=====

VASP calculation (PBE-GGA) on a relaxed structure of Y3Sn2H.

The structure in POSCAR format:
```
Y3Sn2H
1.0
-1.0377 -6.0825 -0.7971
8.2035 -1.6801 2.1411
-2.3545 2.8903 5.2913
Y Sn H
6 4 2
direct
0.3432 0.2500 0.0000
0.6568 0.7500 0.0000
0.0186 0.1551 0.2895
0.7291 0.3449 0.7105
0.2709 0.6551 0.2895
0.9814 0.8449 0.7105
0.7742 0.5060 0.2890
0.5148 0.0060 0.2890
0.4852 0.9940 0.7110
0.2258 0.4940 0.7110
0.9962 0.7500 0.0000
0.0038 0.2500 0.0000
```

Computed properties:
- E: -5.76 eV per atom
- Space-group type: C2/c (15)

=====

VASP calculation (PBE-GGA) on a relaxed structure of CaTl3Ge.

The structure in POSCAR format:
```
CaTl3Ge
1.0
5.8384 0.0000 0.0000
0.0000 5.8384 0.0000
0.0000 0.0000 5.8384
Tl Ca Ge
3 1 1
direct
0.0000 0.5000 0.0000
0.0000 0.0000 0.5000
0.5000 0.0000 0.0000
0.0000 0.0000 0.0000
0.5000 0.5000 0.5000
```

Computed properties:
- DFT formation energy: 0.680 eV per atom
- Space-group type: Pm-3m (221)
- Relative energy among the computed polymorphs: 11.93 kcal/mol of atoms

=====

VASP calculation (PBE-GGA) on a relaxed structure of TcTe4Pb.

The structure in POSCAR format:
```
TcTe4Pb
1.0
2.9034 -5.5865 -0.7755
-3.1778 -5.3946 1.0196
-1.5598 -3.7341 -4.8850
Tc Te Pb
1 4 1
direct
0.0000 0.0000 0.0000
0.8764 0.3745 0.3745
0.3745 0.3745 0.8764
0.3745 0.8764 0.3745
0.3745 0.3745 0.3745
0.7500 0.7500 0.7500
```

Computed properties:
- Formation energy without anion corrections: 0.92 eV/atom
- Space-group type: F-43m (216)

=====

VASP calculation (PBE-GGA) on a relaxed structure of Na3CuBPO7.

The structure in POSCAR format:
```
Na3CuBPO7
1.0
7.5379 0.0000 0.0000
0.0000 5.0104 0.0604
0.0000 0.2759 8.6687
Na Cu B P O
6 2 2 2 14
direct
0.7500 0.2199 0.9156
0.9888 0.7375 0.7248
0.5112 0.7375 0.7248
0.4888 0.2625 0.2752
0.0112 0.2625 0.2752
0.2500 0.7801 0.0844
0.2500 0.2121 0.6563
0.7500 0.7879 0.3437
0.2500 0.2767 0.9246
0.7500 0.7233 0.0754
0.7500 0.2770 0.5855
0.2500 0.7230 0.4145
0.7500 0.6920 0.9235
0.2500 0.0323 0.8528
0.2500 0.4756 0.8059
0.9169 0.2173 0.6832
0.5831 0.2173 0.6832
0.7500 0.5876 0.5363
0.2500 0.8697 0.5694
0.7500 0.1303 0.4306
0.2500 0.4124 0.4637
0.4169 0.7827 0.3168
0.0831 0.7827 0.3168
0.7500 0.5244 0.1941
0.7500 0.9677 0.1472
0.2500 0.3080 0.0765
```

Computed properties:
- Formation energy without anion corrections: -1.87 eV/atom
- Space-group type: P2_1/m (11)

=====

VASP calculation (PBE-GGA) on a relaxed structure of Li2In2Hg3.

The structure in POSCAR format:
```
Li2In2Hg3
1.0
4.5208 0.0000 0.0000
-2.2604 4.6281 -0.6576
0.0000 0.0753 7.5315
Li In Hg
2 2 3
direct
0.5871 0.1741 0.7613
0.4129 0.8259 0.2387
0.8585 0.7169 0.5688
0.1415 0.2831 0.4312
0.0000 0.0000 0.0000
0.7099 0.4197 0.1584
0.2901 0.5803 0.8416
```

Computed properties:
- DFT formation energy: -0.174 eV per atom
- Space-group type: C2/m (12)
- Relative energy among the computed polymorphs: 0.00 kcal/mol of atoms

=====

VASP calculation (PBE-GGA) on a relaxed structure of Sc3Ga5Se12.

The structure in POSCAR format:
```
Sc3Ga5Se12
1.0
-10.6740 5.6115 6.0973
-4.2507 -8.3866 -9.7055
7.2492 -6.9128 9.0699
Sc Ga Se
12 20 48
direct
0.7500 0.3750 0.1250
0.8750 0.7500 0.1250
0.3750 0.7500 0.6250
0.2500 0.1250 0.3750
0.8750 0.1250 0.2500
0.3750 0.6250 0.2500
0.6250 0.3750 0.7500
0.1250 0.8750 0.7500
0.7500 0.8750 0.6250
0.6250 0.2500 0.3750
0.1250 0.2500 0.8750
0.2500 0.6250 0.8750
0.1250 0.3750 0.2500
0.0000 0.5000 0.0000
0.0000 0.0000 0.0000
0.3750 0.2500 0.1250
0.5000 0.0000 0.5000
0.5000 0.5000 0.0000
0.1250 0.7500 0.3750
0.7500 0.1250 0.8750
0.7500 0.6250 0.3750
0.3750 0.1250 0.7500
0.6250 0.8750 0.2500
0.5000 0.5000 0.5000
0.5000 0.0000 0.0000
0.0000 0.0000 0.5000
0.2500 0.3750 0.6250
0.2500 0.8750 0.1250
0.0000 0.5000 0.5000
0.8750 0.2500 0.6250
0.6250 0.7500 0.8750
0.8750 0.6250 0.7500
0.7155 0.1298 0.0406
0.3251 0.5406 0.4108
0.9594 0.3702 0.2845
0.5406 0.2155 0.1298
0.5857 0.7155 0.6749
0.9594 0.5892 0.1749
0.3251 0.7845 0.4143
0.0892 0.9143 0.1298
0.5892 0.9594 0.6749
0.7155 0.5857 0.1749
0.7845 0.4594 0.3702
0.8251 0.9108 0.0406
0.1298 0.7155 0.5406
0.3702 0.4108 0.0857
0.0857 0.9108 0.3702
0.4143 0.1298 0.5892
0.0857 0.1749 0.2155
0.4594 0.6749 0.0892
0.8251 0.9143 0.2845
0.1298 0.4143 0.0892
0.3702 0.9594 0.7845
0.5892 0.6298 0.4143
0.9108 0.8251 0.5406
0.7845 0.3251 0.9143
0.4108 0.3702 0.5857
0.0892 0.1749 0.4594
0.2155 0.6749 0.0857
0.1749 0.0857 0.7155
0.6298 0.0406 0.2155
0.8702 0.5857 0.9108
0.5406 0.3251 0.9108
0.5857 0.8702 0.4108
0.9143 0.8251 0.7845
0.9143 0.0892 0.6298
0.8702 0.2845 0.4594
0.1749 0.0892 0.9594
0.6298 0.5892 0.9143
0.4108 0.0406 0.3251
0.2845 0.4143 0.8251
0.2155 0.5406 0.6298
0.9108 0.0857 0.8702
0.6749 0.2155 0.5857
0.4594 0.7845 0.8702
0.0406 0.4108 0.8251
0.4143 0.2845 0.3251
0.0406 0.6298 0.7155
0.6749 0.4594 0.5892
0.2845 0.8702 0.9594
```

Computed properties:
- Formation energy without anion corrections: -0.85 eV/atom
- Space-group type: Ia-3d (230)

=====

VASP calculation (PBE-GGA) on a relaxed structure of Zr2ZnH.

The structure in POSCAR format:
```
Zr2ZnH
1.0
-2.9743 -0.3216 -1.2318
-1.7956 -2.5816 0.7608
-4.2792 2.5460 5.4194
H Zn Zr
1 1 2
direct
0.5000 0.5000 0.5000
0.0000 0.0000 0.0000
0.7710 0.7710 0.6869
0.2290 0.2290 0.3131
```

Computed properties:
- Space-group type: R-3m (166)
- Relative energy among the computed polymorphs: 1.89 kcal/mol of atoms

=====

VASP calculation (PBE-GGA) on a relaxed structure of La2Tb6Y.

The structure in POSCAR format:
```
La2Tb6Y
1.0
3.6738 -0.0114 0.4173
1.1088 8.0936 4.2239
-0.3534 0.0569 9.9956
La Tb Y
2 6 1
direct
0.5000 0.8319 0.3361
0.5000 0.1681 0.6639
0.1623 0.8287 0.6696
0.8377 0.1713 0.3304
0.3376 0.3337 0.0000
0.1623 0.4983 0.3304
0.8377 0.5017 0.6696
0.6624 0.6663 0.0000
0.0000 0.0000 0.0000
```

Computed properties:
- DFT formation energy: 0.108 eV per atom
- Space-group type: C2/m (12)
- Relative energy among the computed polymorphs: 0.12 kcal/mol of atoms

=====

VASP calculation (PBE-GGA) on a relaxed structure of AlPd6Pt3.

The structure in POSCAR format:
```
AlPd6Pt3
1.0
-6.3910 3.6637 0.1839
-2.6407 -4.7219 2.3017
1.6134 2.4512 6.8794
Al Pd Pt
2 12 6
direct
0.5000 0.5000 0.5000
0.0000 0.0000 0.0000
0.6720 0.1049 0.9507
0.6688 0.1403 0.5686
0.8370 0.3041 0.2443
0.1630 0.6959 0.7557
0.3312 0.8597 0.4314
0.3280 0.8951 0.0493
0.1720 0.3951 0.4506
0.1688 0.3597 0.0686
0.3370 0.1959 0.7443
0.6630 0.8041 0.2557
0.8312 0.6403 0.9314
0.8280 0.6049 0.5494
0.5294 0.7826 0.7363
0.5000 0.5000 0.0000
0.4706 0.2174 0.2637
0.0294 0.7174 0.2363
0.0000 0.0000 0.5000
0.9706 0.2826 0.7637
```

Computed properties:
- DFT formation energy: -0.124 eV per atom
- Space-group type: P2_1/c (14)
- Relative energy among the computed polymorphs: 3.43 kcal/mol of atoms

=====

VASP calculation (PBE-GGA) on a relaxed structure of ZnSi2Tc.

The structure in POSCAR format:
```
ZnSi2Tc
1.0
4.2022 0.5251 0.0000
-0.5281 4.2019 0.0000
0.0000 0.0000 3.0589
Si Tc Zn
2 1 1
direct
0.0000 0.0000 0.0000
0.5000 0.5000 0.0000
0.5000 0.0000 0.5000
0.0000 0.5000 0.5000
```

Computed properties:
- Formation energy without anion corrections: 0.10 eV/atom
- Space-group type: P4/mmm (123)
- Relative energy among the computed polymorphs: 4.76 kcal/mol of atoms